CaNd4Sm (PBE, optimized geometry); ΔH_f (0 K) = 0.206 eV/atom; SG = F-43m; calculated density = 5.66 g/cm³
1.0
6.8297 0.0000 0.0000
3.4148 5.9147 0.0000
3.4148 1.9716 5.5764
Nd Sm Ca
4 1 1
Direct
0.1206 0.6265 0.6265
0.6265 0.6265 0.1206
0.6265 0.6265 0.6265
0.6265 0.1206 0.6265
0.0000 0.0000 0.0000
0.2500 0.2500 0.2500

***

K2InReOs (PBE, optimized geometry); ΔH_f (0 K) = 2.240 eV/atom; SG = P4/mmm; calculated density = 4.72 g/cm³
1.0
-5.2236 0.6039 -3.3983
2.7519 -0.3638 -4.2946
-0.7490 -6.2157 0.0467
Os In K Re
1 1 2 1
Direct
0.0000 0.5000 0.0000
0.0000 0.0000 0.0000
0.0000 0.0000 0.5000
0.5000 0.0000 0.0000
0.5000 0.5000 0.5000

***

LiGaAu2 (PBE, optimized geometry); ΔH_f (0 K) = -0.323 eV/atom; SG = F-43m; calculated density = 11.59 g/cm³
1.0
-3.6936 -2.4214 1.1618
0.4569 -4.3029 1.4600
-0.7764 -1.0174 4.3868
Ga Au Li
1 2 1
Direct
0.7501 0.7501 0.7497
0.0001 0.0001 0.9996
0.2499 0.2499 0.2502
0.4998 0.4998 0.5005

***

Mg2TlCdNi (PBE, optimized geometry); ΔH_f (0 K) = 0.068 eV/atom; SG = P4/mmm; calculated density = 5.84 g/cm³
1.0
-4.4372 0.2254 2.0840
-2.0093 -1.8470 -4.0784
0.6095 -4.6358 1.7991
Tl Ni Cd Mg
1 1 1 2
Direct
0.5000 0.5000 0.5000
0.0000 0.0000 0.0000
0.0000 0.0000 0.5000
0.5000 0.0000 0.0000
0.0000 0.5000 0.0000